A relaxed HfReWF2 crystal. Source: the Alexandria database, functional GGA+U.

For the electronic total energy, the calculation gives -31.9 eV per cell. As for the density: 10.59 g/cm3. As for the crystal system: tetragonal.

The structure belongs to space group P4/mmm (No. 123); the cell edges are 4.115, 4.115 and 5.430 Å and the angles 90.00°, 90.00° and 90.00°. Symmetry generates all atoms from Hf at (0.000, 0.000, 0.000), Re at (0.000, 0.000, 0.500), W at (0.500, 0.500, 0.000) and F at (0.000, 0.500, 0.500).